Record 1
First-principles (GGA-PBE) data for a geometry-optimized RbWI3 structure, as listed in Alexandria.

Summary:
Distance to the lowest polymorph of the same formula   0 meV per atom
Symmetry   Pm-3m (221)
E_form (uncorrected)   -0.3 eV/f.u.
Density of states at the Fermi level   0.1421 states/eV/atom

```
RbWI3
1.0
5.8333 0.0000 0.0000
0.0000 5.8333 0.0000
0.0000 0.0000 5.8333
W I Rb
1 3 1
Cartesian
0.0000 0.0000 0.0000
0.0000 0.0000 2.9167
0.0000 2.9167 0.0000
2.9167 0.0000 0.0000
2.9167 2.9167 2.9167
```



Record 2
First-principles (GGA-PBE) data for a geometry-optimized Sc4FeCl structure, as listed in Alexandria.

Summary:
Symmetry   F-43m (216)
E_form (uncorrected)   3.5 eV/f.u.
Density of states at the Fermi level   1.1623 states/eV/atom

```
Sc4FeCl
1.0
-0.8074 1.4616 5.6024
-3.0883 4.7738 1.3595
-5.2914 -0.5348 2.4270
Cl Fe Sc
1 1 4
Cartesian
-6.8903 4.2754 7.0417
0.0000 0.0000 0.0000
-3.4247 2.1250 3.5000
-4.9963 4.5544 4.1918
-3.8356 2.8688 6.3510
-6.1175 1.8528 4.7350
```



Record 3
First-principles (GGA-PBE) data for a geometry-optimized NaCaAcMg structure, as listed in Alexandria.

Summary:
Symmetry   F-43m (216)
Total energy   -8.81 eV for the cell shown
Density of states at the Fermi level   0.7972 states/eV/atom

```
NaCaAcMg
1.0
5.8737 0.0000 0.0000
2.9369 5.0868 0.0000
2.9369 1.6956 4.7959
Ca Mg Ac Na
1 1 1 1
Cartesian
0.0000 0.0000 0.0000
8.8106 5.0868 3.5969
5.8737 3.3912 2.3979
2.9369 1.6956 1.1990
```



Record 4
First-principles (GGA-PBE) data for a geometry-optimized VMoRhPb2 structure, as listed in Alexandria.

Summary:
Symmetry   P4/mmm (123)
Total energy   -28.79 eV for the cell shown
Density of states at the Fermi level   1.0677 states/eV/atom

```
VMoRhPb2
1.0
5.1723 0.0000 0.0000
0.0000 4.4251 0.0000
0.0000 0.0000 5.1723
Pb V Mo Rh
2 1 1 1
Cartesian
0.0000 0.0000 2.5862
2.5862 0.0000 0.0000
0.0000 0.0000 0.0000
0.0000 2.2126 0.0000
2.5862 2.2126 2.5862
```



Record 5
First-principles (GGA-PBE) data for a geometry-optimized CaYTa structure, as listed in Alexandria.

Summary:
Distance to the lowest polymorph of the same formula   164 meV per atom
Symmetry   P-6m2 (187)
Density of states at the Fermi level   1.3990 states/eV/atom

```
CaYTa
1.0
5.4200 0.0000 0.0000
-2.7100 4.6939 0.0000
0.0000 0.0000 2.9926
Y Ta Ca
1 1 1
Cartesian
0.0000 3.1293 2.4936
2.7100 1.5646 0.9981
0.0000 0.0000 2.4935
```



Record 6
First-principles (GGA-PBE) data for a geometry-optimized FeTc5 structure, as listed in Alexandria.

Summary:
Distance to the lowest polymorph of the same formula   45 meV per atom
Symmetry   Cmmm (65)
Density of states at the Fermi level   1.1249 states/eV/atom

```
FeTc5
1.0
-0.1688 -3.1583 -5.1645
-2.5482 0.4644 5.4742
-2.5830 2.4432 -1.4096
Tc Fe
5 1
Cartesian
-1.8111 -0.6579 2.1783
-1.9140 -1.2460 -3.8410
-1.0381 -1.8347 -1.2777
-2.7161 -0.0247 -0.2544
-3.5183 1.1966 3.3322
-0.2349 -3.0577 -4.8692
```



- density of states at the Fermi level of number 3 (NaCaAcMg)?
  0.7972 states/eV/atom